No. 1
! GGA-PBE ReTcN2F, relaxed; values from VASP
! Excess energy over the best structure of this formula in the dataset in meV per atom: 434
! Space group: No. 123
&SYSTEM
  ibrav = 0, nat = 5, ntyp = 4
/
ATOMIC_SPECIES
Re 186.21 Re.upf
Tc 98.00 Tc.upf
N 14.01 N.upf
F 19.00 F.upf
CELL_PARAMETERS angstrom
3.9352 0.0000 0.0000
0.0000 3.9352 0.0000
0.0000 0.0000 4.0312
ATOMIC_POSITIONS crystal
Re 0.0000 0.0000 0.0000
Tc 0.5000 0.5000 0.5000
N 0.0000 0.5000 0.5000
N 0.5000 0.0000 0.5000
F 0.5000 0.5000 0.0000


No. 2
! GGA-PBE ZrPa2Tc3, relaxed; values from VASP
! Excess energy over the best structure of this formula in the dataset in meV per atom: 16
! Space group: No. 123
! Formation energy from the elements in eV/atom: -0.245
&SYSTEM
  ibrav = 0, nat = 6, ntyp = 3
/
ATOMIC_SPECIES
Zr 91.22 Zr.upf
Pa 231.04 Pa.upf
Tc 98.00 Tc.upf
CELL_PARAMETERS angstrom
3.4077 0.0000 0.0000
0.0000 3.4077 0.0000
0.0000 0.0000 10.1057
ATOMIC_POSITIONS crystal
Zr 0.0000 0.0000 0.0000
Pa 0.0000 0.0000 0.3278
Pa 0.0000 0.0000 0.6722
Tc 0.5000 0.5000 0.1661
Tc 0.5000 0.5000 0.5000
Tc 0.5000 0.5000 0.8339


No. 3
! GGA-PBE FeCu2Hg, relaxed; values from VASP
! Excess energy over the best structure of this formula in the dataset in meV per atom: 75
! Space group: No. 166
! Formation energy from the elements in eV/atom: 0.336
&SYSTEM
  ibrav = 0, nat = 4, ntyp = 3
/
ATOMIC_SPECIES
Fe 55.84 Fe.upf
Cu 63.55 Cu.upf
Hg 200.59 Hg.upf
CELL_PARAMETERS angstrom
1.4033 0.8102 8.7909
-1.4033 0.8102 8.7909
0.0000 -1.6203 8.7909
ATOMIC_POSITIONS crystal
Fe 0.0000 0.0000 0.0000
Cu 0.2586 0.2586 0.2586
Cu 0.7414 0.7414 0.7414
Hg 0.5000 0.5000 0.5000


No. 4
! GGA-PBE La2Er4TmTh, relaxed; values from VASP
! Space group: No. 12
! Formation energy from the elements in eV/atom: 0.026
&SYSTEM
  ibrav = 0, nat = 16, ntyp = 4
/
ATOMIC_SPECIES
La 138.91 La.upf
Er 167.26 Er.upf
Tm 168.93 Tm.upf
Th 232.04 Th.upf
CELL_PARAMETERS angstrom
6.1824 -3.5821 0.0000
6.1824 3.5821 0.0000
-4.0634 0.0000 11.5755
ATOMIC_POSITIONS crystal
La 0.0000 0.0000 0.0000
La 0.0000 0.0000 0.5000
La 0.0000 0.5000 0.0000
La 0.5000 0.0000 0.0000
Er 0.2540 0.2540 0.2582
Er 0.2542 0.2542 0.7514
Er 0.2558 0.7444 0.2518
Er 0.2556 0.7442 0.7482
Er 0.7444 0.2558 0.2518
Er 0.7442 0.2556 0.7482
Er 0.7458 0.7458 0.2486
Er 0.7460 0.7460 0.7418
Tm 0.0000 0.5000 0.5000
Tm 0.5000 0.0000 0.5000
Th 0.5000 0.5000 0.0000
Th 0.5000 0.5000 0.5000


No. 5
! GGA-PBE BaSn2Rh, relaxed; values from VASP
! Space group: No. 62
! Formation energy from the elements in eV/atom: -0.574
&SYSTEM
  ibrav = 0, nat = 32, ntyp = 3
/
ATOMIC_SPECIES
Ba 137.33 Ba.upf
Sn 118.71 Sn.upf
Rh 102.91 Rh.upf
CELL_PARAMETERS angstrom
16.8828 0.0000 0.0000
0.0000 7.6298 0.0000
0.0000 0.0000 6.6638
ATOMIC_POSITIONS crystal
Ba 0.1021 0.2500 0.1988
Ba 0.1327 0.7500 0.0084
Ba 0.3673 0.2500 0.5084
Ba 0.3979 0.7500 0.6988
Ba 0.6021 0.2500 0.3012
Ba 0.6327 0.7500 0.4916
Ba 0.8673 0.2500 0.9916
Ba 0.8979 0.7500 0.8012
Sn 0.0464 0.0556 0.6961
Sn 0.0464 0.4444 0.6961
Sn 0.2113 0.5531 0.4966
Sn 0.2113 0.9469 0.4966
Sn 0.2887 0.0531 0.9966
Sn 0.2887 0.4469 0.9966
Sn 0.4536 0.5556 0.1961
Sn 0.4536 0.9444 0.1961
Sn 0.5464 0.0556 0.8039
Sn 0.5464 0.4444 0.8039
Sn 0.7113 0.5531 0.0034
Sn 0.7113 0.9469 0.0034
Sn 0.7887 0.0531 0.5034
Sn 0.7887 0.4469 0.5034
Sn 0.9536 0.5556 0.3039
Sn 0.9536 0.9444 0.3039
Rh 0.0737 0.7500 0.4874
Rh 0.1890 0.2500 0.7256
Rh 0.3110 0.7500 0.2256
Rh 0.4263 0.2500 0.9874
Rh 0.5737 0.7500 0.0126
Rh 0.6890 0.2500 0.7744
Rh 0.8110 0.7500 0.2744
Rh 0.9263 0.2500 0.5126


No. 6
! GGA-PBE HoCd5Pd, relaxed; values from VASP
! Space group: No. 123
! Formation energy from the elements in eV/atom: -0.284
&SYSTEM
  ibrav = 0, nat = 7, ntyp = 3
/
ATOMIC_SPECIES
Ho 164.93 Ho.upf
Cd 112.41 Cd.upf
Pd 106.42 Pd.upf
CELL_PARAMETERS angstrom
4.7266 0.0000 0.0000
0.0000 4.7266 0.0000
0.0000 0.0000 7.2092
ATOMIC_POSITIONS crystal
Ho 0.0000 0.0000 0.0000
Cd 0.0000 0.5000 0.2931
Cd 0.0000 0.5000 0.7069
Cd 0.5000 0.0000 0.2931
Cd 0.5000 0.0000 0.7069
Cd 0.5000 0.5000 0.0000
Pd 0.0000 0.0000 0.5000


| no. | uncorrected energy (eV/cell) |
| --- | --- |
| 1 | -36.1 |
| 2 | -60.1 |
| 3 | -15.6 |
| 4 | -79.6 |
| 5 | -156.6 |
| 6 | -16.3 |